A relaxed Tl2GaBi2 crystal, computed with PBE.

```
Tl2GaBi2
1.0
-2.240 3.777 1.606
-2.278 0.377 -4.065
-7.901 -2.436 1.513
Tl Bi Ga
2 2 1
Cartesian
-6.200 1.709 0.945
-6.219 0.009 -1.891
-3.357 1.198 -0.696
-9.062 0.520 -0.250
0.000 0.000 0.000
```

Calculated values
The energy of formation from the pure elements is 1.036 eV/f.u. The total magnetic moment is 0.00 μB per atom. Its total energy is -2.897 eV/atom. The crystal system is tetragonal.

---

A relaxed K2AlIn crystal, computed with PBE.

```
K2AlIn
1.0
3.878 0.018 0.000
-0.035 3.878 0.000
0.000 0.000 10.321
K Al In
2 1 1
Cartesian
0.000 0.000 9.600
1.921 1.948 3.338
0.000 0.000 5.789
1.921 1.948 7.074
```

Calculated values
The energy of formation from the pure elements is 0.485 eV/f.u. The total magnetic moment is 0.00 μB per atom. Its total energy is -2.048 eV/atom. The crystal system is orthorhombic.

---

A relaxed CaFe3Pb crystal, computed with PBE.

```
CaFe3Pb
1.0
4.727 0.000 0.000
0.000 4.727 0.000
0.000 0.000 4.727
Pb Ca Fe
1 1 3
Cartesian
2.364 2.364 2.364
0.000 0.000 0.000
0.000 2.364 0.000
0.000 0.000 2.364
2.364 0.000 0.000
```

Calculated values
The energy of formation from the pure elements is 8.601 eV/f.u. The total magnetic moment is 1.49 μB per atom. Its total energy is -4.499 eV/atom. The crystal system is cubic.